Record 1
The following is a DFT calculation (PBE) of Sr2TaIrN2O4 after structural relaxation.

Geometry as extended XYZ:
```
20
Lattice="-3.745 3.800 -1.838 -3.604 -4.145 -1.354 -3.232 0.393 7.253" Properties=species:S:1:pos:R:3 pbc="T T T"
Sr -4.434 -3.930 0.440
Sr -5.979 -3.783 4.092
Sr -6.115 0.050 3.862
Sr -4.520 -0.140 0.223
N -3.747 1.947 -1.641
N -4.136 -1.659 4.779
N -4.388 2.087 4.504
N -5.289 2.097 1.819
O -5.268 -2.079 2.232
O -8.601 0.121 4.793
O -7.006 -0.046 1.406
O -6.145 -2.019 -0.414
O -6.479 1.678 -0.741
O -6.850 -1.921 5.712
O -3.442 0.083 2.661
O -2.104 -0.079 -0.748
Ir -7.097 1.942 1.224
Ir -5.169 2.286 6.219
Ta -3.557 2.093 2.706
Ta -8.711 2.145 4.739
```

total energy: -7.799 eV/atom
energy relative to the lowest polymorph listed for this composition: 0 meV/atom
calculated density: 8381 kg/m³

---

Record 2
The following is a DFT calculation (PBE) of HfCuTe2 after structural relaxation.

Geometry as extended XYZ:
```
4
Lattice="-3.501 -3.001 2.002 -1.135 0.371 4.883 -4.433 1.904 1.413" Properties=species:S:1:pos:R:3 pbc="T T T"
Te -6.802 -0.544 6.223
Te 0.000 0.000 0.000
Cu -2.267 -0.181 2.074
Hf -4.534 -0.363 4.149
```

total energy: -4.699 eV/atom
calculated density: 9193 kg/m³

---

Record 3
The following is a DFT calculation (PBE) of Nb4Ag2O11 after structural relaxation.

Geometry as extended XYZ:
```
34
Lattice="5.773 0.448 2.247 -0.902 -0.632 -6.141 -1.770 12.655 2.024" Properties=species:S:1:pos:R:3 pbc="T T T"
Ag -0.728 5.991 -3.696
Ag 3.720 6.349 1.899
Ag 3.097 -0.108 -3.564
Ag 0.051 12.460 1.827
O -1.987 9.040 -3.098
O 2.729 7.295 -2.238
O 1.678 2.832 -0.591
O 3.713 11.863 3.009
O -0.112 9.475 0.522
O 3.914 1.352 -0.125
O -0.656 3.036 -1.046
O 1.597 9.705 2.637
O 1.438 9.807 -1.332
O -0.575 0.642 -4.881
O -0.038 7.329 -1.489
O 3.202 3.047 -2.436
O 0.931 1.008 -2.468
O 3.684 9.384 1.546
O 2.420 3.373 1.600
O 3.169 5.254 -0.325
O -0.581 3.254 -3.475
O 0.340 5.205 0.340
O 1.186 4.982 -2.441
O 2.094 11.567 0.614
O -0.776 11.226 -1.848
O 1.942 7.595 0.464
Nb 1.887 9.502 0.630
Nb 1.196 2.902 -2.546
Nb 1.493 6.085 -0.866
Nb 2.862 9.133 -2.615
Nb -0.665 2.463 -5.344
Nb 3.567 12.643 1.297
Nb -0.433 9.172 -1.823
Nb 3.586 3.238 -0.066
```

total energy: -7.986 eV/atom
calculated density: 6054 kg/m³